Density functional theory data (PBE with a Hubbard U) for a relaxed structure of Ti2MnPb3O9.

Lattice parameters (Å, degrees): 5.576 5.576 6.831 90.00 90.00 120.00
Last column: magnetic moment on the atom in μB.
Sites, in units of the cell vectors:
1 O 0.500 0.000 0.000  -0.01
2 O 0.165 0.835 0.336  -0.03
3 O 0.000 0.500 0.000  -0.01
4 O 0.835 0.165 0.664  -0.03
5 O 0.835 0.671 0.664  -0.03
6 O 0.165 0.329 0.336  -0.03
7 O 0.500 0.500 0.000  -0.01
8 O 0.329 0.165 0.664  -0.03
9 O 0.671 0.835 0.336  -0.03
10 Pb 0.333 0.667 0.658  0.01
11 Pb 0.000 0.000 0.000  0.00
12 Pb 0.667 0.333 0.342  0.01
13 Mn 0.000 0.000 0.500  3.07
14 Ti 0.667 0.333 0.834  0.00
15 Ti 0.333 0.667 0.166  0.00

* space-group type: P-3m1, No. 164
* ρ: 8.3 g/cm3
* total DFT energy (no corrections): -7.183 eV/atom